# CoSiTeO2

A relaxed CoSiTeO2 crystal (GGA+U, the Alexandria database).

energy	-4.663	eV per atom
space group	P4/mmm

Cell lengths 3.857, 3.857, 4.710 Å; angles 90.00, 90.00, 90.00 degrees
Fractional positions:
1 Co 0.000 0.000 0.000
2 Si 0.000 0.000 0.500
3 Te 0.500 0.500 0.500
4 O 0.000 0.500 0.000
5 O 0.500 0.000 0.000